Entry i
VASP calculation (PBE) on W3Au after structural relaxation.

Values from the calculation:
space group = R-3m
total moment = 0.00 μB per formula unit
density = 18.82 g/cm³

a b c (Å): 5.387 5.387 5.387
angles (deg): 117.26 117.26 117.26
Sites, in units of the cell vectors:
1 Au 0.000 0.000 0.000
2 W 0.000 0.500 0.500
3 W 0.500 0.000 0.500
4 W 0.500 0.500 0.000

---

Entry ii
VASP calculation (PBE) on W3Au after structural relaxation.

Values from the calculation:
space group = Cmmm
total moment = 0.00 μB per formula unit
density = 18.81 g/cm³

a b c (Å): 2.750 2.750 9.126
angles (deg): 90.00 90.00 106.86
Sites, in units of the cell vectors:
1 Au 0.000 0.000 0.000
2 W 0.000 0.000 0.500
3 W 0.500 0.500 0.258
4 W 0.500 0.500 0.742

---

Which structure wins on stability? entry ii wins.